# ScTa2Mo | OQMD via LeMat-Bulk | GGA-PBE | relaxed
# Calculated volume ... 72 Å³/cell
# Formation enthalpy at 0 K ... 0.175 eV/atom
# SG ... F-43m
# Final energy ... -10.05 eV per atom
data_ScTa2Mo
_space_group_name_H-M_alt 'P 1'
_space_group_IT_number 1
_space_group_name_Hall 'P 1'
_cell_length_a 4.674
_cell_length_b 4.674
_cell_length_c 4.674
_cell_angle_alpha 60.00
_cell_angle_beta 60.00
_cell_angle_gamma 60.00
loop_
_atom_site_label
_atom_site_fract_x
_atom_site_fract_y
_atom_site_fract_z
Ta1 0.750 0.750 0.750
Ta2 0.500 0.500 0.500
Sc1 0.000 0.000 0.000
Mo1 0.250 0.250 0.250